Record 1
The following is a DFT calculation (PBE-GGA) of a relaxed Co2PdN2 crystal.

## Properties
Symmetry: I4/mmm, No. 139
ΔE_f (raw), kJ/mol of formula units: 250
Volume, Å³ per atom: 10.59

a b c (Å): 3.361 3.361 5.256
angles (deg): 71.35 71.35 90.00
Positions (direct):
Co1 0.750 0.250 0.500
N1 0.652 0.652 0.697
Co2 0.250 0.750 0.500
N2 0.348 0.348 0.303
Pd1 0.000 0.000 0.000


Record 2
The following is a DFT calculation (PBE-GGA) of a relaxed Co2PdN2 crystal.

## Properties
Symmetry: P4/mbm, No. 127
ΔE_f (raw), kJ/mol of formula units: 407
Volume, Å³ per atom: 9.59

a b c (Å): 6.067 6.067 2.606
angles (deg): 90.00 90.00 90.00
Positions (direct):
Co1 0.867 0.367 0.500
Pd1 0.000 0.000 0.000
Pd2 0.500 0.500 0.000
Co2 0.367 0.133 0.500
N1 0.632 0.132 0.000
N2 0.868 0.632 0.000
N3 0.368 0.868 0.000
Co3 0.633 0.867 0.500
N4 0.132 0.368 0.000
Co4 0.133 0.633 0.500


Record 3
The following is a DFT calculation (PBE-GGA) of a relaxed CoPd3N crystal.

## Properties
Symmetry: Pm-3m, No. 221
ΔE_f (raw), kJ/mol of formula units: 948
Volume, Å³ per atom: 19.12

a b c (Å): 4.573 4.573 4.573
angles (deg): 90.00 90.00 90.00
Positions (direct):
Pd1 0.500 0.000 0.000
N1 0.500 0.500 0.500
Co1 0.000 0.000 0.000
Pd2 0.000 0.000 0.500
Pd3 0.000 0.500 0.000


Record 4
The following is a DFT calculation (PBE-GGA) of a relaxed Co2PdN crystal.

## Properties
Symmetry: I-42d, No. 122
ΔE_f (raw), kJ/mol of formula units: 78
Volume, Å³ per atom: 11.69

a b c (Å): 5.777 5.777 4.954
angles (deg): 54.33 54.33 90.00
Positions (direct):
Pd1 0.750 0.250 0.500
Co1 0.875 0.755 0.750
Pd2 0.000 0.000 0.000
N1 0.500 0.500 0.000
Co2 0.245 0.625 0.250
N2 0.250 0.750 0.500
Co3 0.375 0.495 0.750
Co4 0.505 0.125 0.250


Record 5
The following is a DFT calculation (PBE-GGA) of a relaxed CoPd2RuN crystal.

## Properties
Symmetry: P4/mmm, No. 123
ΔE_f (raw), kJ/mol of formula units: 1030
Volume, Å³ per atom: 18.72

a b c (Å): 4.574 4.473 4.574
angles (deg): 90.00 90.00 90.00
Positions (direct):
Pd1 0.500 0.000 0.000
Pd2 0.000 0.000 0.500
Ru1 0.000 0.500 0.000
N1 0.500 0.500 0.500
Co1 0.000 0.000 0.000


Record 6
The following is a DFT calculation (PBE-GGA) of a relaxed Sc2CoPdN crystal.

## Properties
Symmetry: P4/mmm, No. 123
ΔE_f (raw), kJ/mol of formula units: -466
Volume, Å³ per atom: 14.55

a b c (Å): 4.490 4.490 3.609
angles (deg): 90.00 90.00 90.00
Positions (direct):
Pd1 0.500 0.500 0.500
Sc1 0.000 0.500 0.000
N1 0.000 0.000 0.000
Sc2 0.500 0.000 0.000
Co1 0.000 0.000 0.500


Record 7
The following is a DFT calculation (PBE-GGA) of a relaxed CoPdSeN2 crystal.

## Properties
Symmetry: P4/mmm, No. 123
ΔE_f (raw), kJ/mol of formula units: 459
Volume, Å³ per atom: 14.46

a b c (Å): 3.552 3.552 5.729
angles (deg): 90.00 90.00 90.00
Positions (direct):
Co1 0.000 0.000 0.000
Se1 0.000 0.000 0.500
Pd1 0.500 0.500 0.500
N1 0.000 0.500 0.000
N2 0.500 0.000 0.000


Record 8
The following is a DFT calculation (PBE-GGA) of a relaxed CoPdSeN2 crystal.

## Properties
Symmetry: P4/mmm, No. 123
ΔE_f (raw), kJ/mol of formula units: 784
Volume, Å³ per atom: 20.23

a b c (Å): 3.716 3.716 7.328
angles (deg): 90.00 90.00 90.00
Positions (direct):
Se1 0.000 0.000 0.500
Co1 0.500 0.500 0.500
N1 0.000 0.500 0.000
Pd1 0.000 0.000 0.000
N2 0.500 0.000 0.000